(1)
This record from Alexandria via LeMat-Bulk describes a relaxed Nb3NiB crystal. The functional is PBE.

Lattice parameters (Å, degrees): 4.309 4.309 4.309 90.00 90.00 90.00
Fractional positions:
Nb (0.000, 0.000, 0.500)
Nb (0.000, 0.500, 0.000)
Nb (0.500, 0.000, 0.000)
Ni (0.500, 0.500, 0.500)
B (0.000, 0.000, 0.000)

Summary:
magnetic moment: 0.00 μB/f.u.
symmetry: Pm-3m (221)
E above lowest polymorph: 0.000 eV/atom



(2)
This record from Alexandria via LeMat-Bulk describes a relaxed Na2BPtO4 crystal. The functional is PBE.

Lattice parameters (Å, degrees): 4.882 4.882 4.882 110.50 110.50 107.44
Fractional positions:
Na (0.000, 0.000, 0.000)
Na (0.750, 0.250, 0.500)
B (0.500, 0.500, 0.000)
Pt (0.250, 0.750, 0.500)
O (0.213, 0.172, 0.695)
O (0.477, 0.518, 0.305)
O (0.482, 0.787, 0.960)
O (0.828, 0.523, 0.040)

Summary:
magnetic moment: 1.06 μB/f.u.
symmetry: I-4 (82)
energy relative to the elements, uncorrected: -1.3813 eV/atom



(3)
This record from Alexandria via LeMat-Bulk describes a relaxed KZn2PH2 crystal. The functional is PBE.

Lattice parameters (Å, degrees): 7.159 5.010 7.249 90.00 116.25 90.00
Fractional positions:
K (0.180, 0.250, 0.275)
K (0.820, 0.750, 0.725)
Zn (0.359, 0.000, 0.801)
Zn (0.359, 0.500, 0.801)
Zn (0.641, 0.000, 0.199)
Zn (0.641, 0.500, 0.199)
P (0.311, 0.750, 0.067)
P (0.689, 0.250, 0.933)
H (0.171, 0.250, 0.674)
H (0.345, 0.750, 0.622)
H (0.655, 0.250, 0.378)
H (0.829, 0.750, 0.326)

Summary:
raw total energy: -33.716 eV for the cell shown
magnetic moment: 0.00 μB/f.u.
symmetry: P2_1/m (11)



(4)
This record from Alexandria via LeMat-Bulk describes a relaxed CuSnBiTe3 crystal. The functional is PBE.

Lattice parameters (Å, degrees): 9.271 4.350 9.769 90.00 103.74 90.00
Fractional positions:
Cu (0.070, 0.250, 0.012)
Cu (0.930, 0.750, 0.988)
Sn (0.163, 0.250, 0.687)
Sn (0.837, 0.750, 0.313)
Bi (0.339, 0.750, 0.335)
Bi (0.661, 0.250, 0.665)
Te (0.093, 0.250, 0.365)
Te (0.223, 0.750, 0.011)
Te (0.423, 0.750, 0.678)
Te (0.577, 0.250, 0.322)
Te (0.777, 0.250, 0.989)
Te (0.907, 0.750, 0.635)

Summary:
magnetic moment: 0.00 μB/f.u.
symmetry: P2_1/m (11)
energy relative to the elements, uncorrected: -0.1603 eV/atom



(5)
This record from Alexandria via LeMat-Bulk describes a relaxed ReSiAs2Pt crystal. The functional is PBE.

Lattice parameters (Å, degrees): 4.622 4.622 4.467 90.00 90.00 90.00
Fractional positions:
Re (0.000, 0.000, 0.000)
Si (0.000, 0.000, 0.500)
As (0.000, 0.500, 0.500)
As (0.500, 0.000, 0.500)
Pt (0.500, 0.500, 0.000)

Summary:
magnetic moment: 0.00 μB/f.u.
symmetry: P4/mmm (123)
energy relative to the elements, uncorrected: 1.2082 eV/atom



(6)
This record from Alexandria via LeMat-Bulk describes a relaxed Ba3TlZn3 crystal. The functional is PBE.

Lattice parameters (Å, degrees): 11.538 11.538 4.417 90.00 90.00 120.00
Fractional positions:
Ba (0.103, 0.405, 0.250)
Ba (0.302, 0.897, 0.250)
Ba (0.405, 0.302, 0.750)
Ba (0.595, 0.698, 0.250)
Ba (0.698, 0.103, 0.750)
Ba (0.897, 0.595, 0.750)
Tl (0.333, 0.667, 0.750)
Tl (0.667, 0.333, 0.250)
Zn (0.033, 0.149, 0.750)
Zn (0.116, 0.967, 0.750)
Zn (0.149, 0.116, 0.250)
Zn (0.851, 0.884, 0.750)
Zn (0.884, 0.033, 0.250)
Zn (0.967, 0.851, 0.250)

Summary:
raw total energy: -26.792 eV for the cell shown
magnetic moment: 0.00 μB/f.u.
symmetry: P6_3/m (176)



(7)
This record from Alexandria via LeMat-Bulk describes a relaxed Sc5Mn crystal. The functional is PBE.

Lattice parameters (Å, degrees): 5.566 5.566 4.969 90.00 90.00 120.00
Fractional positions:
Sc (0.000, 0.686, 0.000)
Sc (0.314, 0.314, 0.000)
Sc (0.333, 0.667, 0.500)
Sc (0.667, 0.333, 0.500)
Sc (0.686, 0.000, 0.000)
Mn (0.000, 0.000, 0.500)

Summary:
magnetic moment: 0.55 μB/f.u.
symmetry: P-62m (189)
E above lowest polymorph: 0.018 eV/atom



(8)
This record from Alexandria via LeMat-Bulk describes a relaxed AlSi2H crystal. The functional is PBE.

Lattice parameters (Å, degrees): 4.212 4.212 4.212 60.00 60.00 60.00
Fractional positions:
Al (0.000, 0.000, 0.000)
Si (0.250, 0.250, 0.250)
Si (0.750, 0.750, 0.750)
H (0.500, 0.500, 0.500)

Summary:
magnetic moment: 0.00 μB/f.u.
symmetry: Fm-3m (225)
E above lowest polymorph: 0.170 eV/atom



(9)
This record from Alexandria via LeMat-Bulk describes a relaxed SnSbPd crystal. The functional is PBE.

Lattice parameters (Å, degrees): 4.522 4.809 6.602 90.00 91.20 90.00
Fractional positions:
Sn (0.004, 0.000, 0.259)
Sn (0.996, 0.000, 0.741)
Sb (0.494, 0.500, 0.244)
Sb (0.506, 0.500, 0.756)
Pd (0.000, 0.500, 0.500)
Pd (0.500, 0.000, 0.000)

Summary:
magnetic moment: 0.00 μB/f.u.
symmetry: P2/m (10)
E above lowest polymorph: 0.010 eV/atom
energy relative to the elements, uncorrected: -0.3152 eV/atom



(10)
This record from Alexandria via LeMat-Bulk describes a relaxed YHo3Th2As6 crystal. The functional is PBE.

Lattice parameters (Å, degrees): 9.293 9.293 8.301 102.77 102.77 25.92
Fractional positions:
Y (0.000, 0.000, 0.000)
Ho (0.000, 0.000, 0.500)
Ho (0.334, 0.334, 0.166)
Ho (0.666, 0.666, 0.834)
Th (0.335, 0.335, 0.670)
Th (0.665, 0.665, 0.330)
As (0.165, 0.165, 0.588)
As (0.167, 0.167, 0.077)
As (0.498, 0.498, 0.250)
As (0.502, 0.502, 0.750)
As (0.833, 0.833, 0.923)
As (0.835, 0.835, 0.412)

Summary:
raw total energy: -80.878 eV for the cell shown
magnetic moment: 0.00 μB/f.u.
symmetry: C2/m (12)



(11)
This record from Alexandria via LeMat-Bulk describes a relaxed TiBe2Cr crystal. The functional is PBE.

Lattice parameters (Å, degrees): 3.593 3.593 3.469 90.00 90.00 90.00
Fractional positions:
Ti (0.000, 0.000, 0.000)
Be (0.000, 0.500, 0.500)
Be (0.500, 0.000, 0.500)
Cr (0.500, 0.500, 0.000)

Summary:
magnetic moment: 0.00 μB/f.u.
symmetry: P4/mmm (123)
E above lowest polymorph: 0.006 eV/atom



(12)
This record from Alexandria via LeMat-Bulk describes a relaxed Nd6TlSi2Se3 crystal. The functional is PBE.

Lattice parameters (Å, degrees): 9.696 9.696 8.715 105.21 105.21 25.46
Fractional positions:
Nd (0.001, 0.001, 0.267)
Nd (0.328, 0.328, 0.908)
Nd (0.330, 0.330, 0.427)
Nd (0.670, 0.670, 0.573)
Nd (0.672, 0.672, 0.092)
Nd (0.999, 0.999, 0.733)
Tl (0.500, 0.500, 0.000)
Si (0.165, 0.165, 0.329)
Si (0.835, 0.835, 0.671)
Se (0.166, 0.166, 0.830)
Se (0.500, 0.500, 0.500)
Se (0.834, 0.834, 0.170)

Summary:
magnetic moment: 0.00 μB/f.u.
symmetry: C2/m (12)
energy relative to the elements, uncorrected: -1.2053 eV/atom



(13)
This record from Alexandria via LeMat-Bulk describes a relaxed TaTeW2 crystal. The functional is PBE.

Lattice parameters (Å, degrees): 3.289 4.513 4.821 90.00 90.00 90.00
Fractional positions:
Ta (0.000, 0.000, 0.000)
Te (0.500, 0.500, 0.000)
W (0.000, 0.500, 0.500)
W (0.500, 0.000, 0.500)

Summary:
magnetic moment: 0.00 μB/f.u.
symmetry: Pmmm (47)
energy relative to the elements, uncorrected: 0.5438 eV/atom



(14)
This record from Alexandria via LeMat-Bulk describes a relaxed CeTlPb crystal. The functional is PBE.

Lattice parameters (Å, degrees): 6.542 6.542 6.542 145.42 145.42 49.71
Fractional positions:
Ce (0.000, 0.000, 0.000)
Tl (0.328, 0.328, 0.000)
Pb (0.681, 0.681, 0.000)

Summary:
magnetic moment: 1.71 μB/f.u.
symmetry: I4mm (107)
E above lowest polymorph: 0.166 eV/atom



(15)
This record from Alexandria via LeMat-Bulk describes a relaxed TiNbPdPt crystal. The functional is PBE.

Lattice parameters (Å, degrees): 9.226 9.226 9.226 17.93 17.93 17.93
Fractional positions:
Ti (0.000, 0.000, 0.000)
Nb (0.834, 0.834, 0.834)
Pd (0.587, 0.587, 0.587)
Pt (0.415, 0.415, 0.415)

Summary:
magnetic moment: 0.00 μB/f.u.
symmetry: R3m (160)
E above lowest polymorph: 0.068 eV/atom



(16)
This record from Alexandria via LeMat-Bulk describes a relaxed BeFeTc2 crystal. The functional is PBE.

Lattice parameters (Å, degrees): 4.739 4.739 4.739 143.04 129.30 64.37
Fractional positions:
Be (0.000, 0.000, 0.000)
Fe (0.226, 0.726, 0.500)
Tc (0.483, 0.483, 0.000)
Tc (0.747, 0.247, 0.500)

Summary:
raw total energy: -32.997 eV for the cell shown
magnetic moment: 2.04 μB/f.u.
symmetry: Imm2 (44)



(17)
This record from Alexandria via LeMat-Bulk describes a relaxed Pu3H2Pb crystal. The functional is PBE.

Lattice parameters (Å, degrees): 6.209 6.209 6.209 135.89 135.89 64.16
Fractional positions:
Pu (0.000, 0.000, 0.000)
Pu (0.250, 0.750, 0.500)
Pu (0.750, 0.250, 0.500)
H (0.212, 0.212, 0.000)
H (0.788, 0.788, 0.000)
Pb (0.500, 0.500, 0.000)

Summary:
raw total energy: -54.607 eV for the cell shown
magnetic moment: 6.39 μB/f.u.
symmetry: I4/mmm (139)



(18)
This record from Alexandria via LeMat-Bulk describes a relaxed SmAlZn4Cu2 crystal. The functional is PBE.

Lattice parameters (Å, degrees): 9.206 9.206 9.206 26.39 26.39 26.39
Fractional positions:
Sm (0.000, 0.000, 0.000)
Al (0.500, 0.500, 0.500)
Zn (0.123, 0.123, 0.123)
Zn (0.401, 0.401, 0.401)
Zn (0.599, 0.599, 0.599)
Zn (0.877, 0.877, 0.877)
Cu (0.235, 0.235, 0.235)
Cu (0.765, 0.765, 0.765)

Summary:
raw total energy: -22.897 eV for the cell shown
magnetic moment: 0.00 μB/f.u.
symmetry: R-3m (166)



(19)
This record from Alexandria via LeMat-Bulk describes a relaxed HfCrCuS4 crystal. The functional is PBE.

Lattice parameters (Å, degrees): 5.906 3.563 6.050 90.00 91.88 90.00
Fractional positions:
Hf (0.000, 0.000, 0.000)
Cr (0.000, 0.500, 0.500)
Cu (0.500, 0.500, 0.500)
S (0.239, 0.000, 0.659)
S (0.246, 0.500, 0.183)
S (0.754, 0.500, 0.817)
S (0.761, 0.000, 0.341)

Summary:
magnetic moment: 2.99 μB/f.u.
symmetry: P2/m (10)
E above lowest polymorph: 0.070 eV/atom
energy relative to the elements, uncorrected: -0.9326 eV/atom



(20)
This record from Alexandria via LeMat-Bulk describes a relaxed NbTe2Ir crystal. The functional is PBE.

Lattice parameters (Å, degrees): 4.808 4.808 4.808 60.00 60.00 60.00
Fractional positions:
Nb (0.000, 0.000, 0.000)
Te (0.250, 0.250, 0.250)
Te (0.750, 0.750, 0.750)
Ir (0.500, 0.500, 0.500)

Summary:
magnetic moment: 0.00 μB/f.u.
symmetry: Fm-3m (225)
E above lowest polymorph: 0.614 eV/atom
energy relative to the elements, uncorrected: 0.2384 eV/atom



(21)
This record from Alexandria via LeMat-Bulk describes a relaxed HfRhW2Br crystal. The functional is PBE.

Lattice parameters (Å, degrees): 4.871 4.871 4.970 90.00 90.00 90.00
Fractional positions:
Hf (0.000, 0.000, 0.000)
Rh (0.500, 0.500, 0.500)
W (0.000, 0.500, 0.000)
W (0.500, 0.000, 0.000)
Br (0.000, 0.000, 0.500)

Summary:
magnetic moment: 1.66 μB/f.u.
symmetry: P4/mmm (123)
energy relative to the elements, uncorrected: 2.3911 eV/atom



(22)
This record from Alexandria via LeMat-Bulk describes a relaxed Mg2TcO4 crystal. The functional is PBE.

Lattice parameters (Å, degrees): 6.109 6.109 6.109 120.74 119.45 89.84
Fractional positions:
Mg (0.000, 0.000, 0.500)
Mg (0.000, 0.500, 0.000)
Mg (0.389, 0.139, 0.250)
Mg (0.611, 0.861, 0.750)
Tc (0.000, 0.500, 0.500)
Tc (0.500, 0.500, 0.000)
O (0.216, 0.734, 0.482)
O (0.248, 0.269, 0.521)
O (0.248, 0.727, 0.979)
O (0.249, 0.266, 0.982)
O (0.751, 0.734, 0.018)
O (0.752, 0.273, 0.021)
O (0.752, 0.731, 0.479)
O (0.784, 0.266, 0.518)

Summary:
magnetic moment: 2.96 μB/f.u.
symmetry: Imma (74)
E above lowest polymorph: 0.013 eV/atom
energy relative to the elements, uncorrected: -2.0986 eV/atom



(23)
This record from Alexandria via LeMat-Bulk describes a relaxed Ac2TbIn12Pt3 crystal. The functional is PBE.

Lattice parameters (Å, degrees): 8.779 8.779 8.779 66.35 66.35 66.35
Fractional positions:
Ac (0.084, 0.084, 0.084)
Ac (0.916, 0.916, 0.916)
Tb (0.500, 0.500, 0.500)
In (0.054, 0.665, 0.665)
In (0.229, 0.229, 0.642)
In (0.229, 0.642, 0.229)
In (0.335, 0.335, 0.946)
In (0.335, 0.946, 0.335)
In (0.358, 0.771, 0.771)
In (0.642, 0.229, 0.229)
In (0.665, 0.054, 0.665)
In (0.665, 0.665, 0.054)
In (0.771, 0.358, 0.771)
In (0.771, 0.771, 0.358)
In (0.946, 0.335, 0.335)
Pt (0.000, 0.500, 0.500)
Pt (0.500, 0.000, 0.500)
Pt (0.500, 0.500, 0.000)

Summary:
raw total energy: -66.497 eV for the cell shown
magnetic moment: 0.00 μB/f.u.
symmetry: R-3m (166)



(24)
This record from Alexandria via LeMat-Bulk describes a relaxed Rb2CaMo crystal. The functional is PBE.

Lattice parameters (Å, degrees): 6.541 6.541 6.541 60.00 60.00 60.00
Fractional positions:
Rb (0.250, 0.250, 0.250)
Rb (0.750, 0.750, 0.750)
Ca (0.000, 0.000, 0.000)
Mo (0.500, 0.500, 0.500)

Summary:
magnetic moment: 4.59 μB/f.u.
symmetry: Fm-3m (225)
E above lowest polymorph: 0.013 eV/atom



(25)
This record from Alexandria via LeMat-Bulk describes a relaxed LiCo crystal. The functional is PBE.

Lattice parameters (Å, degrees): 2.549 2.549 8.898 90.00 90.00 120.00
Fractional positions:
Li (0.333, 0.667, 0.146)
Li (0.667, 0.333, 0.854)
Co (0.333, 0.667, 0.608)
Co (0.667, 0.333, 0.392)

Summary:
raw total energy: -17.518 eV for the cell shown
magnetic moment: 1.51 μB/f.u.
symmetry: P-3m1 (164)